Computed, not measured: a relaxed structure of Ca7Sn2Bi2 at the PBE level of DFT.

Output
The calculation puts the formation energy at -0.5538 eV/atom.

Cell lengths 10.1391, 11.1493, 7.5241 Å; angles 90.00, 90.00, 90.00 degrees
Space group Cmmm (No. 65)
One atom of each set of equivalent atoms:
1 Ca 0.0000 0.0000 0.0000 [2 per cell]
2 Ca 0.0000 0.5000 0.2690 [4 per cell]
3 Ca 0.2500 0.2500 0.2674 [8 per cell]
4 Sn 0.2311 0.0000 0.5000 [4 per cell]
5 Bi 0.0000 0.2774 0.0000 [4 per cell]

=====

Computed, not measured: a relaxed structure of TcSb2RuI at the PBE level of DFT.

Output
The calculation puts the polymorph energy (0 for the lowest one) at 0 meV/atom.

Cell lengths 5.0461, 5.0461, 5.5755 Å; angles 90.00, 90.00, 90.00 degrees
Space group P4/mmm (No. 123)
One atom of each set of equivalent atoms:
1 Tc 0.0000 0.0000 0.0000 [1 per cell]
2 Sb 0.0000 0.5000 0.5000 [2 per cell]
3 Ru 0.5000 0.5000 0.5000 [1 per cell]
4 I 0.5000 0.5000 0.0000 [1 per cell]

=====

Computed, not measured: a relaxed structure of PrInPd at the PBE level of DFT.

Output
The calculation puts the formation energy at -0.7447 eV/atom.

Cell lengths 13.6773, 4.0225, 7.8982 Å; angles 90.00, 90.00, 90.00 degrees
Space group Pmma (No. 51)
One atom of each set of equivalent atoms:
1 Pr 0.0452 0.0000 0.2360 [4 per cell]
2 Pr 0.2500 0.0000 0.8572 [2 per cell]
3 In 0.1196 0.5000 0.5725 [4 per cell]
4 In 0.2500 0.5000 0.2025 [2 per cell]
5 Pd 0.0972 0.5000 0.9402 [4 per cell]
6 Pd 0.2500 0.0000 0.4558 [2 per cell]

=====

Computed, not measured: a relaxed structure of Gd2ThMg at the PBE level of DFT.

Output
The calculation puts the polymorph energy (0 for the lowest one) at 230 meV/atom. The calculation puts the formation energy at 0.1830 eV/atom.

Cell lengths 3.5073, 3.5073, 36.4328 Å; angles 90.00, 90.00, 120.00 degrees
Space group R-3m (No. 166, hexagonal axes)
One atom of each set of equivalent atoms:
1 Gd 0.0000 0.0000 0.0901 [6 per cell]
2 Th 0.0000 0.0000 0.5000 [3 per cell]
3 Mg 0.0000 0.0000 0.0000 [3 per cell]

=====

Computed, not measured: a relaxed structure of InTeC3 at the PBE level of DFT.

Output
The calculation puts the polymorph energy (0 for the lowest one) at 0 meV/atom.

Cell lengths 4.2451, 4.2451, 4.2451 Å; angles 90.00, 90.00, 90.00 degrees
Space group Pm-3m (No. 221)
One atom of each set of equivalent atoms:
1 In 0.0000 0.0000 0.0000 [1 per cell]
2 Te 0.5000 0.5000 0.5000 [1 per cell]
3 C 0.0000 0.5000 0.5000 [3 per cell]

=====

Computed, not measured: a relaxed structure of PtW2C at the PBE level of DFT.

Output
The calculation puts the formation energy at 0.4637 eV/atom.

Cell lengths 2.9042, 2.9042, 23.7423 Å; angles 90.00, 90.00, 120.00 degrees
Space group R-3m (No. 166, hexagonal axes)
One atom of each set of equivalent atoms:
1 Pt 0.0000 0.0000 0.0000 [3 per cell]
2 W 0.0000 0.0000 0.1118 [6 per cell]
3 C 0.0000 0.0000 0.5000 [3 per cell]

=====

Computed, not measured: a relaxed structure of KNa8Hg6 at the PBE level of DFT.

Output
The calculation puts the formation energy at -0.1670 eV/atom.

Cell lengths 9.3218, 9.3218, 19.0861 Å; angles 90.00, 90.00, 120.00 degrees
Space group R-3 (No. 148, hexagonal axes)
One atom of each set of equivalent atoms:
1 K 0.0000 0.0000 0.0000 [3 per cell]
2 Na 0.0000 0.0000 0.3317 [6 per cell]
3 Na 0.0027 0.6744 0.1183 [18 per cell]
4 Hg 0.0002 0.3551 0.0498 [18 per cell]

=====

Result set for total energy: -71.7 -23.7 -89.7 -109.3 -19.9 -117.9 -47.9 eV/cell, one per record in the order listed.